Entry 1:
Below is Na2SrIn after structural relaxation, with properties calculated at the PBE level.

Values from the calculation:
DOS(E_F) = 11.1 states/eV per cell
Total energy = -1.777 eV/atom
Formation energy = -0.0123 eV per atom

Lattice parameters (Å, degrees): 4.874 4.874 25.028 90.00 90.00 90.00
Space group I-42d (No. 122)
Unique sites:
1 Na 0.208 0.250 0.125 (multiplicity 8)
2 Sr 0.000 0.000 0.500 (multiplicity 4)
3 In 0.000 0.000 0.000 (multiplicity 4)

---

Entry 2:
Below is CaCdF2 after structural relaxation, with properties calculated at the PBE level.

Values from the calculation:
DOS(E_F) = 0.0 states/eV per cell
Total energy = -3.779 eV/atom
Energy relative to the elements, uncorrected = -2.115 eV/atom
Energy above the most stable polymorph in this dataset = 2.46 eV per formula unit

Lattice parameters (Å, degrees): 6.506 6.506 6.506 90.00 90.00 90.00
Space group Fm-3m (No. 225)
Unique sites:
1 Ca 0.000 0.000 0.000 (multiplicity 4)
2 Cd 0.000 0.000 0.500 (multiplicity 4)
3 F 0.250 0.250 0.250 (multiplicity 8)

---

Entry 3:
Below is Ac2PuZr after structural relaxation, with properties calculated at the PBE level.

Values from the calculation:
DOS(E_F) = 36.1 states/eV per cell
Total energy = -7.198 eV/atom
Formation energy = 0.5763 eV per atom

Lattice parameters (Å, degrees): 3.5578 3.5578 37.6808 90.00 90.00 120.00
Space group R-3m (No. 166, hexagonal axes)
Unique sites:
1 Ac 0.0000 0.0000 0.0855 (multiplicity 6)
2 Pu 0.0000 0.0000 0.5000 (multiplicity 3)
3 Zr 0.0000 0.0000 0.0000 (multiplicity 3)

---

Entry 4:
Below is SrZrPaO6 after structural relaxation, with properties calculated at the PBE level.

Values from the calculation:
DOS(E_F) = 5.3 states/eV per cell
Total energy = -8.483 eV/atom
Energy relative to the elements, uncorrected = -2.985 eV/atom

Lattice parameters (Å, degrees): 5.7988 5.7988 4.7735 90.00 90.00 120.00
Space group P312 (No. 149)
Unique sites:
1 Sr 0.0000 0.0000 0.0000 (multiplicity 1)
2 Zr 0.3333 0.6667 0.0000 (multiplicity 1)
3 Pa 0.6667 0.3333 0.5000 (multiplicity 1)
4 O 0.0039 0.3812 0.2434 (multiplicity 6)

---

Entry 5:
Below is Co23Ni6Ir after structural relaxation, with properties calculated at the PBE level.

Values from the calculation:
DOS(E_F) = 152.3 states/eV per cell
Total energy = -6.741 eV/atom
Formation energy = 0.1583 eV per atom

Lattice parameters (Å, degrees): 11.127 11.127 11.127 90.00 90.00 90.00
Space group Fm-3m (No. 225)
Unique sites:
1 Co 0.000 0.000 0.000 (multiplicity 4)
2 Co 0.000 0.250 0.250 (multiplicity 24)
3 Co 0.129 0.129 0.129 (multiplicity 32)
4 Co 0.138 0.138 0.362 (multiplicity 32)
5 Ni 0.000 0.000 0.258 (multiplicity 24)
6 Ir 0.000 0.000 0.500 (multiplicity 4)

---

Entry 6:
Below is Sm4Y5Sc2 after structural relaxation, with properties calculated at the PBE level.

Values from the calculation:
DOS(E_F) = 35.9 states/eV per cell
Total energy = -5.693 eV/atom
Energy above the most stable polymorph in this dataset = 0.79 eV per formula unit
Formation energy = 0.1128 eV per atom

Lattice parameters (Å, degrees): 23.662 3.509 8.523 90.00 95.13 90.00
Space group C2/m (No. 12)
Unique sites:
1 Sm 0.038 0.000 0.348 (multiplicity 4)
2 Sm 0.224 0.500 0.826 (multiplicity 4)
3 Y 0.000 0.500 0.000 (multiplicity 2)
4 Y 0.129 0.000 0.040 (multiplicity 4)
5 Y 0.182 0.000 0.475 (multiplicity 4)
6 Sc 0.088 0.500 0.696 (multiplicity 4)